Material: LiAs2Pd
Method: DFT, PBE-GGA
State: relaxed

a b c (Å): 4.1460 4.1460 14.3251
angles (deg): 90.00 90.00 120.00
Sites, in units of the cell vectors:
Li  0.0000  0.0000  0.0000
Li  0.3333  0.6667  0.6667
Li  0.6667  0.3333  0.3333
As  0.0000  0.0000  0.5928
As  0.0000  0.0000  0.7735
As  0.3333  0.6667  0.2594
As  0.3333  0.6667  0.4402
As  0.6667  0.3333  0.1068
As  0.6667  0.3333  0.9261
Pd  0.0000  0.0000  0.1859
Pd  0.3333  0.6667  0.8525
Pd  0.6667  0.3333  0.5192

## Properties
Energy of formation: -39.1 kJ per mole of atoms
Energy: -4.51 eV/atom
V: 213.25 Å³/cell
ΔE to the lowest computed polymorph: 0 meV per atom



Material: CaAc2B2O6
Method: DFT, PBE-GGA
State: relaxed

a b c (Å): 5.1820 5.1820 8.7914
angles (deg): 90.00 90.00 120.00
Sites, in units of the cell vectors:
Ca  0.0000  0.0000  0.0000
Ac  0.3333  0.6667  0.2725
Ac  0.6667  0.3333  0.7275
B  0.3333  0.6667  0.8127
B  0.6667  0.3333  0.1873
O  0.1800  0.3599  0.8100
O  0.1800  0.8200  0.8100
O  0.3599  0.1800  0.1900
O  0.6401  0.8200  0.8100
O  0.8200  0.1800  0.1900
O  0.8200  0.6401  0.1900

## Properties
Raw formation energy: -2.71 eV per atom
Energy: -7.56 eV/atom
V: 204.45 Å³/cell



Copy entry 2 word for word.
Material: CaAc2B2O6
Method: DFT, PBE-GGA
State: relaxed

a b c (Å): 5.1820 5.1820 8.7914
angles (deg): 90.00 90.00 120.00
Sites, in units of the cell vectors:
Ca  0.0000  0.0000  0.0000
Ac  0.3333  0.6667  0.2725
Ac  0.6667  0.3333  0.7275
B  0.3333  0.6667  0.8127
B  0.6667  0.3333  0.1873
O  0.1800  0.3599  0.8100
O  0.1800  0.8200  0.8100
O  0.3599  0.1800  0.1900
O  0.6401  0.8200  0.8100
O  0.8200  0.1800  0.1900
O  0.8200  0.6401  0.1900

## Properties
Raw formation energy: -2.71 eV per atom
Energy: -7.56 eV/atom
V: 204.45 Å³/cell